(1)
Compound: Pr4Te2PPb
Source: the Alexandria database
Functional: PBE
Structure: relaxed

Cell lengths 7.741, 4.450, 7.823 Å; angles 90.00, 109.11, 90.00 degrees
Fractional coordinates of all 8 atoms:
Pr (0.229, 0.000, 0.224)
Pr (0.242, 0.500, 0.765)
Pr (0.758, 0.500, 0.235)
Pr (0.771, 0.000, 0.776)
Te (0.000, 0.000, 0.500)
Te (0.500, 0.500, 0.500)
P (0.000, 0.500, 0.000)
Pb (0.500, 0.000, 0.000)

Summary:
- E_form (uncorrected): -1.274 eV per atom

***

(2)
Compound: NaPmNd4Se8
Source: the Alexandria database
Functional: PBE
Structure: relaxed

Cell lengths 8.708, 8.708, 8.708 Å; angles 60.14, 60.14, 60.14 degrees
Fractional coordinates of all 14 atoms:
Na (0.000, 0.000, 0.000)
Pm (0.629, 0.629, 0.629)
Nd (0.111, 0.629, 0.629)
Nd (0.249, 0.249, 0.249)
Nd (0.629, 0.111, 0.629)
Nd (0.629, 0.629, 0.111)
Se (0.383, 0.383, 0.383)
Se (0.384, 0.384, 0.849)
Se (0.384, 0.849, 0.384)
Se (0.403, 0.864, 0.864)
Se (0.849, 0.384, 0.384)
Se (0.864, 0.403, 0.864)
Se (0.864, 0.864, 0.403)
Se (0.865, 0.865, 0.865)

Summary:
- E_form (uncorrected): -1.758 eV per atom

***

(3)
Compound: Tm6NiPd2
Source: the Alexandria database
Functional: PBE
Structure: relaxed

Cell lengths 6.457, 7.181, 11.659 Å; angles 90.00, 123.53, 90.00 degrees
Fractional coordinates of all 18 atoms:
Tm (0.099, 0.035, 0.247)
Tm (0.099, 0.465, 0.747)
Tm (0.225, 0.683, 0.065)
Tm (0.225, 0.817, 0.565)
Tm (0.393, 0.178, 0.065)
Tm (0.393, 0.322, 0.565)
Tm (0.607, 0.678, 0.435)
Tm (0.607, 0.822, 0.935)
Tm (0.775, 0.183, 0.435)
Tm (0.775, 0.317, 0.935)
Tm (0.901, 0.535, 0.253)
Tm (0.901, 0.965, 0.753)
Ni (0.500, 0.000, 0.500)
Ni (0.500, 0.500, 0.000)
Pd (0.304, 0.115, 0.746)
Pd (0.304, 0.385, 0.246)
Pd (0.696, 0.615, 0.754)
Pd (0.696, 0.885, 0.254)

Summary:
- ΔH_f (0 K): -0.50 eV per atom

***

Question: Number 2 is which compound?
Answer: NaPmNd4Se8

***

Copy entry 1 word for word.
Compound: Pr4Te2PPb
Source: the Alexandria database
Functional: PBE
Structure: relaxed

Cell lengths 7.741, 4.450, 7.823 Å; angles 90.00, 109.11, 90.00 degrees
Fractional coordinates of all 8 atoms:
Pr (0.229, 0.000, 0.224)
Pr (0.242, 0.500, 0.765)
Pr (0.758, 0.500, 0.235)
Pr (0.771, 0.000, 0.776)
Te (0.000, 0.000, 0.500)
Te (0.500, 0.500, 0.500)
P (0.000, 0.500, 0.000)
Pb (0.500, 0.000, 0.000)

Summary:
- E_form (uncorrected): -1.274 eV per atom